Compound: Dy2TlZn3
Source: Alexandria via LeMat-Bulk
Functional: PBE
Structure: optimized geometry

- Energy above the most stable polymorph in this dataset: 88.8 meV/atom
- Magnetic moment: 0.000 μB/f.u.

a = 3.685 Å, b = 4.579 Å, c = 16.048 Å
α = 90.00°, β = 90.00°, γ = 90.00°
Space group Imm2 (No. 44)
Unique sites:
1 Dy 0.000 0.000 0.000 [2 per cell]
2 Dy 0.000 0.500 0.282 [2 per cell]
3 Tl 0.000 0.000 0.604 [2 per cell]
4 Zn 0.000 0.000 0.437 [2 per cell]
5 Zn 0.000 0.500 0.689 [2 per cell]
6 Zn 0.000 0.500 0.841 [2 per cell]